Record 1
# SmCo

Crystalline SmCo at its relaxed geometry (GGA-PBE, the Open Quantum Materials Database).

- ΔE_f: 0.244 eV per atom
- Space group: Fm-3m (225)
- Volume: 42.7 Å³/cell
- Total moment: 0.01 μB/f.u.

Cell lengths 3.923, 3.923, 3.923 Å; angles 60.00, 60.00, 60.00 degrees
Atoms (fractional coordinates):
Co  0.000  0.000  0.000
Sm  0.500  0.500  0.500



Record 2
# KAg3Te4Mo

Crystalline KAg3Te4Mo at its relaxed geometry (GGA-PBE, the Open Quantum Materials Database).

- Space group: P-43m (215)
- DFT total energy: -3.82 eV per atom
- Volume: 316.2 Å³/cell
- Total moment: 2.00 μB/f.u.

Cell lengths 6.813, 6.813, 6.813 Å; angles 90.00, 90.00, 90.00 degrees
Last column: magnetic moment on the atom in μB.
Atoms (fractional coordinates):
Ag  0.500  0.000  0.500  0.03
Ag  0.500  0.500  0.000  0.04
Ag  0.000  0.500  0.500  0.01
Te  0.277  0.277  0.277  0.01
Te  0.723  0.277  0.723  0.01
Te  0.277  0.723  0.723  0.01
Te  0.723  0.723  0.277  0.01
Mo  0.500  0.500  0.500  1.58
K  0.000  0.000  0.000  0.00



Record 3
# PrNdI4

Crystalline PrNdI4 at its relaxed geometry (GGA-PBE, the Open Quantum Materials Database).

- Space group: P4/mmm (123)
- DFT total energy: -3.92 eV per atom
- Volume: 224.0 Å³/cell
- Total moment: 0.00 μB/f.u.

Cell lengths 3.888, 3.888, 14.813 Å; angles 90.00, 90.00, 90.00 degrees
Atoms (fractional coordinates):
I  0.000  0.000  0.628
I  0.500  0.500  0.872
I  0.000  0.000  0.372
I  0.500  0.500  0.128
Pr  0.500  0.500  0.500
Nd  0.000  0.000  0.000



Record 4
# Tb4CoCl5

Crystalline Tb4CoCl5 at its relaxed geometry (GGA-PBE, the Open Quantum Materials Database).

- Space group: C2/m (12)
- DFT total energy: -5.08 eV per atom
- Volume: 274.9 Å³/cell
- Total moment: 0.00 μB/f.u.

Cell lengths 9.272, 9.272, 8.163 Å; angles 103.13, 103.13, 23.75 degrees
Atoms (fractional coordinates):
Cl  0.500  0.500  0.500
Cl  0.823  0.823  0.143
Cl  0.167  0.167  0.333
Cl  0.833  0.833  0.667
Cl  0.177  0.177  0.857
Co  0.500  0.500  0.000
Tb  0.351  0.351  0.913
Tb  0.000  0.000  0.217
Tb  0.000  0.000  0.783
Tb  0.649  0.649  0.087



Record 5
# K2NaPdF6

Crystalline K2NaPdF6 at its relaxed geometry (GGA-PBE, the Open Quantum Materials Database).

- Space group: Pnma (62)
- DFT total energy: -4.12 eV per atom
- Volume: 588.3 Å³/cell

Cell lengths 9.993, 6.055, 9.723 Å; angles 90.00, 90.00, 90.00 degrees
Atoms (fractional coordinates):
K  0.998  0.250  0.689
K  0.552  0.750  0.846
K  0.052  0.750  0.654
K  0.948  0.250  0.346
K  0.498  0.250  0.811
K  0.002  0.750  0.311
K  0.502  0.750  0.189
K  0.448  0.250  0.154
F  0.669  0.750  0.385
F  0.421  0.484  0.375
F  0.921  0.484  0.125
F  0.299  0.750  0.738
F  0.867  0.990  0.524
F  0.201  0.250  0.238
F  0.701  0.250  0.262
F  0.367  0.990  0.976
F  0.579  0.516  0.625
F  0.133  0.010  0.476
F  0.579  0.984  0.625
F  0.921  0.016  0.125
F  0.831  0.250  0.885
F  0.133  0.490  0.476
F  0.633  0.010  0.024
F  0.799  0.750  0.762
F  0.367  0.510  0.976
F  0.079  0.984  0.875
F  0.079  0.516  0.875
F  0.867  0.510  0.524
F  0.169  0.750  0.115
F  0.331  0.250  0.615
F  0.633  0.490  0.024
F  0.421  0.016  0.375
Na  0.595  0.250  0.465
Na  0.905  0.750  0.965
Na  0.405  0.750  0.535
Na  0.095  0.250  0.035
Pd  0.228  0.750  0.927
Pd  0.272  0.250  0.427
Pd  0.772  0.250  0.073
Pd  0.728  0.750  0.573



Record 6
# LiNbAuS3

Crystalline LiNbAuS3 at its relaxed geometry (GGA-PBE, the Open Quantum Materials Database).

- Space group: Cmcm (63)
- DFT total energy: -5.23 eV per atom
- Volume: 219.6 Å³/cell
- Total moment: 0.04 μB/f.u.

Cell lengths 9.743, 6.735, 6.735 Å; angles 29.79, 90.00, 90.00 degrees
Atoms (fractional coordinates):
Li  0.500  0.222  0.222
Li  0.000  0.778  0.778
S  0.766  0.139  0.139
S  0.500  0.578  0.578
S  0.734  0.861  0.861
S  0.000  0.422  0.422
S  0.234  0.139  0.139
S  0.266  0.861  0.861
Nb  0.750  0.500  0.500
Nb  0.250  0.500  0.500
Au  0.500  0.901  0.901
Au  0.000  0.099  0.099



Record 7
# Li2W3Au2

Crystalline Li2W3Au2 at its relaxed geometry (GGA-PBE, the Open Quantum Materials Database).

- Space group: R3m (160)
- DFT total energy: -6.76 eV per atom
- Volume: 119.9 Å³/cell
- Total moment: 0.01 μB/f.u.

Cell lengths 7.564, 7.564, 7.564 Å; angles 33.88, 33.88, 33.88 degrees
Atoms (fractional coordinates):
W  0.597  0.597  0.597
W  0.326  0.326  0.326
W  0.948  0.948  0.948
Li  0.195  0.195  0.195
Li  0.764  0.764  0.764
Au  0.473  0.473  0.473
Au  0.072  0.072  0.072



Record 8
# CsErSnTe3

Crystalline CsErSnTe3 at its relaxed geometry (GGA-PBE, the Open Quantum Materials Database).

- Space group: Cmcm (63)
- DFT total energy: -4.04 eV per atom
- Volume: 497.6 Å³/cell
- Total moment: 0.00 μB/f.u.

Cell lengths 9.142, 9.142, 12.804 Å; angles 90.00, 90.00, 152.29 degrees
Atoms (fractional coordinates):
Te  0.119  0.881  0.492
Te  0.483  0.517  0.250
Te  0.119  0.881  0.008
Te  0.881  0.119  0.992
Te  0.881  0.119  0.508
Te  0.517  0.483  0.750
Sn  0.905  0.095  0.750
Sn  0.095  0.905  0.250
Er  0.500  0.500  0.000
Er  0.500  0.500  0.500
Cs  0.219  0.781  0.750
Cs  0.781  0.219  0.250



Record 9
# La2AgSn

Crystalline La2AgSn at its relaxed geometry (GGA-PBE, the Open Quantum Materials Database).

- Space group: P6_3/mmc (194)
- DFT total energy: -4.53 eV per atom
- Volume: 234.2 Å³/cell
- Total moment: 0.01 μB/f.u.

Cell lengths 4.947, 4.947, 11.049 Å; angles 90.00, 90.00, 120.00 degrees
Atoms (fractional coordinates):
Sn  0.333  0.667  0.750
Sn  0.667  0.333  0.250
Ag  0.000  0.000  0.250
Ag  0.000  0.000  0.750
La  0.333  0.667  0.406
La  0.667  0.333  0.594
La  0.333  0.667  0.094
La  0.667  0.333  0.906



Record 10
# Er3Fe8Co

Crystalline Er3Fe8Co at its relaxed geometry (GGA-PBE, the Open Quantum Materials Database).

- ΔE_f: -0.126 eV per atom
- Space group: R-3m (166)
- Volume: 175.8 Å³/cell
- Total moment: 16.89 μB/f.u.

Cell lengths 8.540, 8.540, 8.540 Å; angles 34.24, 34.24, 34.24 degrees
Last column: magnetic moment on the atom in μB.
Atoms (fractional coordinates):
Fe  0.667  0.667  0.667  2.28
Fe  0.418  0.418  0.919  2.09
Fe  0.582  0.582  0.081  2.09
Fe  0.919  0.418  0.418  2.06
Fe  0.333  0.333  0.333  2.28
Fe  0.081  0.582  0.582  2.06
Fe  0.418  0.919  0.418  2.19
Fe  0.582  0.081  0.582  2.19
Er  0.142  0.142  0.142  -0.56
Er  0.000  0.000  0.000  -0.48
Er  0.858  0.858  0.858  -0.56
Co  0.500  0.500  0.500  1.22



Record 11
# Dy2Er2Lu3Te2Ir2

Crystalline Dy2Er2Lu3Te2Ir2 at its relaxed geometry (GGA-PBE, the Open Quantum Materials Database).

- Space group: Imm2 (44)
- DFT total energy: -5.99 eV per atom
- Volume: 285.4 Å³/cell
- Total moment: 0.01 μB/f.u.

Cell lengths 9.296, 9.296, 9.296 Å; angles 155.77, 66.39, 119.25 degrees
Atoms (fractional coordinates):
Dy  0.238  0.054  0.184
Dy  0.870  0.054  0.816
Lu  0.183  0.683  0.500
Lu  0.632  0.265  0.368
Lu  0.897  0.265  0.632
Er  0.268  0.414  0.854
Er  0.559  0.414  0.146
Ir  0.016  0.755  0.261
Ir  0.493  0.755  0.739
Te  0.916  0.916  0.000
Te  0.522  0.022  0.500



Record 12
# Pr2NdMg3CdIn2

Crystalline Pr2NdMg3CdIn2 at its relaxed geometry (GGA-PBE, the Open Quantum Materials Database).

- Space group: Amm2 (38)
- DFT total energy: -3.20 eV per atom
- Volume: 246.9 Å³/cell
- Total moment: 0.00 μB/f.u.

Cell lengths 4.768, 7.730, 7.730 Å; angles 119.92, 90.00, 90.00 degrees
Atoms (fractional coordinates):
Mg  0.500  0.000  0.760
Mg  0.500  0.239  0.239
Mg  0.500  0.760  0.000
Pr  0.000  0.000  0.422
Pr  0.000  0.422  0.000
In  0.500  0.666  0.334
In  0.500  0.334  0.666
Cd  0.000  0.999  0.999
Nd  0.000  0.578  0.578



Q: Look up the volume of the second one.
A: 316.2 Å³/cell